DFT (PBE) results for a relaxed YTlCoIr crystal.

Lattice parameters (Å, degrees): 4.699 4.699 4.699 60.00 60.00 60.00
Each line ends with the local moment (μB).
Fractional coordinates of all 4 atoms:
Ir 0.250 0.250 0.250  -0.03
Y 0.500 0.500 0.500  -0.04
Tl 0.000 0.000 0.000  -0.02
Co 0.750 0.750 0.750  0.22

Computed properties:
magnetic moment = 0.1 Bohr magnetons per cell
calculated volume = 18.34 Å³/atom
crystal system = cubic
offset from the most stable computed form = 0 meV/atom